DFT (PBE) results for crystalline Ti2ReTeC at its relaxed geometry.

Unit cell a=4.952 b=4.952 c=3.912 alpha=90.00 beta=90.00 gamma=90.00
Element x y z (fractional)
Ti (0.000, 0.500, 0.000)
Ti (0.500, 0.000, 0.000)
Re (0.000, 0.000, 0.000)
Te (0.500, 0.500, 0.500)
C (0.000, 0.000, 0.500)

Values from the calculation:
E_form (uncorrected): 0.5914 eV/atom